## NaSm2Ho3Te6 (PBE-GGA)

Data for NaSm2Ho3Te6 after structural relaxation.

```
12
Lattice="4.3692 0.0000 0.0000 0.0000 8.8621 0.2821 -2.1846 -2.5906 9.2752" Properties=species:S:1:pos:R:3 pbc="T T T"
Ho 2.1846 -0.2042 6.2423
Ho 2.1846 4.4311 0.1410
Ho 0.0000 6.4758 3.3150
Te 0.0000 1.8863 6.3777
Te 2.1846 4.3853 3.1796
Te 0.0000 2.2514 0.0717
Te 2.1846 4.0202 9.4855
Te 2.1846 -0.1728 3.1455
Te 0.0000 6.4444 6.4118
Sm 2.1846 4.0969 6.2794
Sm 0.0000 2.1747 3.2779
Na 2.1846 0.0000 0.0000
```

Formation energy from raw total energies = -1.323 eV per atom
Magnetization = 0.0000 μB/atom
SG = C2/m
Density of states at the Fermi level = 0.335 states/eV/atom
Volume = 362.3 Å³/cell



## NaHoSn2 (PBE-GGA)

Data for NaHoSn2 after structural relaxation.

```
4
Lattice="4.4977 0.0000 0.0000 0.0000 4.7605 0.0000 0.0000 0.0000 4.7605" Properties=species:S:1:pos:R:3 pbc="T T T"
Sn 0.0000 0.0000 2.3803
Sn 0.0000 2.3803 0.0000
Na 2.2489 0.0000 0.0000
Ho 2.2489 2.3803 2.3803
```

Energy of formation from the pure elements = -1.7 eV per formula unit
Magnetization = 0.0000 μB/atom
SG = P4/mmm
Density of states at the Fermi level = 0.357 states/eV/atom
Volume = 101.9 Å³/cell



## Na3HoSn12 (PBE-GGA)

Data for Na3HoSn12 after structural relaxation.

```
16
Lattice="4.6634 0.0000 0.0000 0.0000 4.6634 0.0000 0.0000 0.0000 19.4686" Properties=species:S:1:pos:R:3 pbc="T T T"
Sn 2.3317 0.0000 7.2947
Sn 2.3317 2.3317 14.5881
Sn 0.0000 2.3317 17.0420
Sn 2.3317 0.0000 17.0420
Sn 2.3317 2.3317 0.0000
Sn 2.3317 0.0000 12.1740
Sn 0.0000 2.3317 12.1740
Sn 2.3317 2.3317 4.8805
Sn 2.3317 2.3317 9.7343
Sn 0.0000 2.3317 7.2947
Sn 2.3317 0.0000 2.4266
Sn 0.0000 2.3317 2.4266
Ho 0.0000 0.0000 0.0000
Na 0.0000 0.0000 14.6388
Na 0.0000 0.0000 9.7343
Na 0.0000 0.0000 4.8299
```

Energy of formation from the pure elements = -2.9 eV per formula unit
Magnetization = 0.0000 μB/atom
SG = P4/mmm
Density of states at the Fermi level = 0.374 states/eV/atom
Volume = 423.4 Å³/cell



Which of these has the highest volume? Na3HoSn12